(1)
First-principles (PBE-GGA) data for Cd2Te2I after structural relaxation, as listed in Alexandria via LeMat-Bulk.

Properties
Formation energy from raw total energies in eV per atom: -0.1566

a = 8.330 Å, b = 8.330 Å, c = 8.330 Å
α = 147.67°, β = 147.67°, γ = 46.37°
Fractional positions:
1 Cd 0.250 0.750 0.500
2 Cd 0.750 0.250 0.500
3 Te 0.132 0.132 0.000
4 Te 0.868 0.868 0.000
5 I 0.500 0.500 0.000

***

(2)
First-principles (PBE-GGA) data for Tb2Dy8Ho3 after structural relaxation, as listed in Alexandria via LeMat-Bulk.

Properties
Calculated formation energy in eV per formula unit: 3.07

a = 10.789 Å, b = 10.789 Å, c = 5.564 Å
α = 90.00°, β = 90.00°, γ = 138.93°
Fractional positions:
1 Tb 0.241 0.759 0.000
2 Tb 0.759 0.241 0.000
3 Dy 0.132 0.868 0.500
4 Dy 0.181 0.396 0.000
5 Dy 0.333 0.667 0.500
6 Dy 0.396 0.181 0.000
7 Dy 0.604 0.819 0.000
8 Dy 0.667 0.333 0.500
9 Dy 0.819 0.604 0.000
10 Dy 0.868 0.132 0.500
11 Ho 0.000 0.000 0.000
12 Ho 0.285 0.285 0.500
13 Ho 0.715 0.715 0.500

***

(3)
First-principles (PBE-GGA) data for Li2TbCrH8 after structural relaxation, as listed in Alexandria via LeMat-Bulk.

a = 3.244 Å, b = 4.886 Å, c = 6.240 Å
α = 89.82°, β = 89.99°, γ = 89.66°
Fractional positions:
1 Li 0.000 0.001 0.229
2 Li 0.000 0.999 0.771
3 Tb 0.500 0.500 0.500
4 Cr 0.500 0.500 0.000
5 H 0.001 0.327 0.999
6 H 0.003 0.215 0.501
7 H 0.499 0.746 0.196
8 H 0.499 0.746 0.803
9 H 0.501 0.254 0.197
10 H 0.501 0.254 0.804
11 H 0.997 0.785 0.499
12 H 0.999 0.673 0.001

***

(4)
First-principles (PBE-GGA) data for Ca2YErS4 after structural relaxation, as listed in Alexandria via LeMat-Bulk.

Properties
Formation energy from raw total energies in eV per atom: -2.0494

a = 6.803 Å, b = 3.931 Å, c = 6.916 Å
α = 90.00°, β = 109.17°, γ = 90.00°
Fractional positions:
1 Ca 0.000 0.000 0.000
2 Ca 0.500 0.500 0.000
3 Y 0.000 0.500 0.500
4 Er 0.500 0.000 0.500
5 S 0.251 0.000 0.744
6 S 0.255 0.500 0.257
7 S 0.745 0.500 0.743
8 S 0.749 0.000 0.256

***

(5)
First-principles (PBE-GGA) data for LiNiC2 after structural relaxation, as listed in Alexandria via LeMat-Bulk.

Properties
Calculated formation energy in eV per formula unit: 5.08

a = 3.524 Å, b = 3.524 Å, c = 3.524 Å
α = 60.00°, β = 60.00°, γ = 60.00°
Fractional positions:
1 Li 0.000 0.000 0.000
2 Ni 0.500 0.500 0.500
3 C 0.250 0.250 0.250
4 C 0.750 0.750 0.750

***

(6)
First-principles (PBE-GGA) data for Ti3PbSe after structural relaxation, as listed in Alexandria via LeMat-Bulk.

Properties
Formation energy from raw total energies in eV per atom: -0.3473

a = 5.015 Å, b = 4.900 Å, c = 7.770 Å
α = 90.00°, β = 101.89°, γ = 90.00°
Fractional positions:
1 Ti 0.040 0.250 0.108
2 Ti 0.177 0.250 0.503
3 Ti 0.459 0.250 0.900
4 Ti 0.541 0.750 0.100
5 Ti 0.823 0.750 0.497
6 Ti 0.960 0.750 0.892
7 Pb 0.397 0.750 0.695
8 Pb 0.603 0.250 0.305
9 Se 0.080 0.750 0.234
10 Se 0.920 0.250 0.766

***

(7)
First-principles (PBE-GGA) data for Zr3Be2Ni4 after structural relaxation, as listed in Alexandria via LeMat-Bulk.

Properties
Calculated formation energy in eV per formula unit: -3.32

a = 5.025 Å, b = 5.025 Å, c = 7.609 Å
α = 111.66°, β = 111.66°, γ = 46.85°
Fractional positions:
1 Zr 0.000 0.000 0.000
2 Zr 0.360 0.360 0.311
3 Zr 0.640 0.640 0.689
4 Be 0.341 0.341 0.674
5 Be 0.659 0.659 0.326
6 Ni 0.095 0.095 0.414
7 Ni 0.277 0.277 0.927
8 Ni 0.723 0.723 0.073
9 Ni 0.905 0.905 0.586

***

(8)
First-principles (PBE-GGA) data for Ac6Tl2Pt after structural relaxation, as listed in Alexandria via LeMat-Bulk.

Properties
Calculated formation energy in eV per formula unit: -3.46

a = 7.216 Å, b = 9.020 Å, c = 13.042 Å
α = 90.00°, β = 123.45°, γ = 90.00°
Fractional positions:
1 Ac 0.093 0.181 0.444
2 Ac 0.093 0.319 0.944
3 Ac 0.303 0.680 0.444
4 Ac 0.303 0.820 0.944
5 Ac 0.362 0.033 0.241
6 Ac 0.362 0.467 0.741
7 Ac 0.638 0.533 0.259
8 Ac 0.638 0.967 0.759
9 Ac 0.697 0.180 0.056
10 Ac 0.697 0.320 0.556
11 Ac 0.907 0.681 0.056
12 Ac 0.907 0.819 0.556
13 Tl 0.183 0.115 0.747
14 Tl 0.183 0.385 0.247
15 Tl 0.817 0.615 0.753
16 Tl 0.817 0.885 0.253
17 Pt 0.500 0.000 0.500
18 Pt 0.500 0.500 0.000

***

(9)
First-principles (PBE-GGA) data for TaTcP2 after structural relaxation, as listed in Alexandria via LeMat-Bulk.

Properties
Calculated formation energy in eV per formula unit: -0.27

a = 4.700 Å, b = 4.700 Å, c = 4.700 Å
α = 130.65°, β = 130.65°, γ = 72.37°
Fractional positions:
1 Ta 0.000 0.000 0.000
2 Tc 0.250 0.750 0.500
3 P 0.500 0.500 0.000
4 P 0.750 0.250 0.500

***

(10)
First-principles (PBE-GGA) data for Nd8Sm2Er after structural relaxation, as listed in Alexandria via LeMat-Bulk.

Properties
Calculated formation energy in eV per formula unit: 1.31

a = 6.797 Å, b = 6.797 Å, c = 9.426 Å
α = 103.75°, β = 103.75°, γ = 66.96°
Fractional positions:
1 Nd 0.150 0.716 0.727
2 Nd 0.181 0.181 0.628
3 Nd 0.192 0.192 0.998
4 Nd 0.284 0.850 0.273
5 Nd 0.716 0.150 0.727
6 Nd 0.808 0.808 0.002
7 Nd 0.819 0.819 0.372
8 Nd 0.850 0.284 0.273
9 Sm 0.358 0.358 0.369
10 Sm 0.642 0.642 0.631
11 Er 0.500 0.500 0.000

***

(11)
First-principles (PBE-GGA) data for CaY3Tl after structural relaxation, as listed in Alexandria via LeMat-Bulk.

Properties
Calculated formation energy in eV per formula unit: 4.48

a = 5.603 Å, b = 5.603 Å, c = 5.603 Å
α = 90.00°, β = 90.00°, γ = 90.00°
Fractional positions:
1 Ca 0.000 0.000 0.000
2 Y 0.000 0.000 0.500
3 Y 0.000 0.500 0.000
4 Y 0.500 0.000 0.000
5 Tl 0.500 0.500 0.500

***

(12)
First-principles (PBE-GGA) data for Ce2DyBi after structural relaxation, as listed in Alexandria via LeMat-Bulk.

Properties
Calculated formation energy in eV per formula unit: -1.69

a = 4.478 Å, b = 4.378 Å, c = 11.799 Å
α = 90.00°, β = 100.53°, γ = 90.00°
Fractional positions:
1 Ce 0.001 0.250 0.384
2 Ce 0.403 0.750 0.389
3 Ce 0.597 0.250 0.611
4 Ce 0.999 0.750 0.616
5 Dy 0.304 0.250 0.112
6 Dy 0.696 0.750 0.888
7 Bi 0.176 0.250 0.838
8 Bi 0.824 0.750 0.162

***

(13)
First-principles (PBE-GGA) data for LiSiNF2 after structural relaxation, as listed in Alexandria via LeMat-Bulk.

Properties
Formation energy from raw total energies in eV per atom: -1.6515

a = 3.940 Å, b = 3.940 Å, c = 3.304 Å
α = 90.00°, β = 90.00°, γ = 90.00°
Fractional positions:
1 Li 0.000 0.000 0.000
2 Si 0.500 0.500 0.500
3 N 0.500 0.500 0.000
4 F 0.000 0.500 0.500
5 F 0.500 0.000 0.500

***

(14)
First-principles (PBE-GGA) data for BaYPb2 after structural relaxation, as listed in Alexandria via LeMat-Bulk.

Properties
Calculated formation energy in eV per formula unit: -1.49

a = 6.095 Å, b = 6.095 Å, c = 3.660 Å
α = 90.16°, β = 90.16°, γ = 101.64°
Fractional positions:
1 Ba 0.000 0.000 0.000
2 Y 0.500 0.500 0.000
3 Pb 0.000 0.500 0.500
4 Pb 0.500 0.000 0.500

***

(15)
First-principles (PBE-GGA) data for BaAlClO2 after structural relaxation, as listed in Alexandria via LeMat-Bulk.

Properties
Formation energy from raw total energies in eV per atom: -2.1451

a = 4.072 Å, b = 4.072 Å, c = 4.671 Å
α = 90.00°, β = 90.00°, γ = 90.00°
Fractional positions:
1 Ba 0.000 0.000 0.000
2 Al 0.500 0.500 0.500
3 Cl 0.500 0.500 0.000
4 O 0.000 0.500 0.500
5 O 0.500 0.000 0.500

***

(16)
First-principles (PBE-GGA) data for YRu3 after structural relaxation, as listed in Alexandria via LeMat-Bulk.

Properties
Calculated formation energy in eV per formula unit: 0.82

a = 8.832 Å, b = 8.832 Å, c = 8.832 Å
α = 153.81°, β = 153.81°, γ = 37.37°
Fractional positions:
1 Y 0.119 0.119 0.000
2 Y 0.881 0.881 0.000
3 Ru 0.000 0.500 0.500
4 Ru 0.250 0.750 0.500
5 Ru 0.362 0.362 0.000
6 Ru 0.500 0.000 0.500
7 Ru 0.638 0.638 0.000
8 Ru 0.750 0.250 0.500

***

(17)
First-principles (PBE-GGA) data for Tm4NbN4 after structural relaxation, as listed in Alexandria via LeMat-Bulk.

Properties
Formation energy from raw total energies in eV per atom: -1.4571

a = 5.755 Å, b = 5.755 Å, c = 5.755 Å
α = 100.24°, β = 100.24°, γ = 130.12°
Fractional positions:
1 Tm 0.105 0.696 0.801
2 Tm 0.304 0.105 0.410
3 Tm 0.696 0.895 0.590
4 Tm 0.895 0.304 0.199
5 Nb 0.500 0.500 0.000
6 N 0.211 0.407 0.618
7 N 0.407 0.789 0.196
8 N 0.593 0.211 0.804
9 N 0.789 0.593 0.382

***

(18)
First-principles (PBE-GGA) data for PmNdGaCo after structural relaxation, as listed in Alexandria via LeMat-Bulk.

Properties
Calculated formation energy in eV per formula unit: -0.84

a = 5.087 Å, b = 5.087 Å, c = 5.087 Å
α = 60.00°, β = 60.00°, γ = 60.00°
Fractional positions:
1 Pm 0.000 0.000 0.000
2 Nd 0.500 0.500 0.500
3 Ga 0.750 0.750 0.750
4 Co 0.250 0.250 0.250

***

(19)
First-principles (PBE-GGA) data for NdDyLuPu after structural relaxation, as listed in Alexandria via LeMat-Bulk.

Properties
Calculated formation energy in eV per formula unit: 0.80

a = 5.605 Å, b = 5.605 Å, c = 5.605 Å
α = 60.00°, β = 60.00°, γ = 60.00°
Fractional positions:
1 Nd 0.000 0.000 0.000
2 Dy 0.250 0.250 0.250
3 Lu 0.750 0.750 0.750
4 Pu 0.500 0.500 0.500

***

(20)
First-principles (PBE-GGA) data for AcMgCoGe2 after structural relaxation, as listed in Alexandria via LeMat-Bulk.

Properties
Calculated formation energy in eV per formula unit: -1.91

a = 5.395 Å, b = 6.427 Å, c = 6.080 Å
α = 90.00°, β = 90.00°, γ = 90.00°
Fractional positions:
1 Ac 0.250 0.000 0.242
2 Ac 0.750 0.000 0.758
3 Mg 0.250 0.500 0.364
4 Mg 0.750 0.500 0.636
5 Co 0.000 0.500 0.000
6 Co 0.500 0.500 0.000
7 Ge 0.250 0.283 0.767
8 Ge 0.250 0.717 0.767
9 Ge 0.750 0.283 0.233
10 Ge 0.750 0.717 0.233

***

(21)
First-principles (PBE-GGA) data for AcPt2O6 after structural relaxation, as listed in Alexandria via LeMat-Bulk.

Properties
Formation energy from raw total energies in eV per atom: -1.3326

a = 5.357 Å, b = 5.357 Å, c = 5.303 Å
α = 90.00°, β = 90.00°, γ = 120.00°
Fractional positions:
1 Ac 0.000 0.000 0.000
2 Pt 0.333 0.667 0.500
3 Pt 0.667 0.333 0.500
4 O 0.000 0.369 0.707
5 O 0.000 0.631 0.293
6 O 0.369 0.000 0.707
7 O 0.369 0.369 0.293
8 O 0.631 0.000 0.293
9 O 0.631 0.631 0.707

***

(22)
First-principles (PBE-GGA) data for Rb2SrAg2F7 after structural relaxation, as listed in Alexandria via LeMat-Bulk.

Properties
Formation energy from raw total energies in eV per atom: -2.2686

a = 11.738 Å, b = 11.738 Å, c = 11.738 Å
α = 158.17°, β = 158.17°, γ = 31.07°
Fractional positions:
1 Rb 0.182 0.182 0.000
2 Rb 0.818 0.818 0.000
3 Sr 0.000 0.000 0.000
4 Ag 0.402 0.402 0.000
5 Ag 0.598 0.598 0.000
6 F 0.074 0.574 0.500
7 F 0.302 0.302 0.000
8 F 0.426 0.926 0.500
9 F 0.500 0.500 0.000
10 F 0.574 0.074 0.500
11 F 0.698 0.698 0.000
12 F 0.926 0.426 0.500

***

(23)
First-principles (PBE-GGA) data for In2Sn2Hg3 after structural relaxation, as listed in Alexandria via LeMat-Bulk.

Properties
Calculated formation energy in eV per formula unit: 0.37

a = 5.919 Å, b = 5.919 Å, c = 9.631 Å
α = 118.57°, β = 118.57°, γ = 43.51°
Fractional positions:
1 In 0.042 0.042 0.252
2 In 0.958 0.958 0.748
3 Sn 0.285 0.285 0.133
4 Sn 0.715 0.715 0.867
5 Hg 0.188 0.188 0.610
6 Hg 0.500 0.500 0.000
7 Hg 0.812 0.812 0.390

***

(24)
First-principles (PBE-GGA) data for Ca2SiGe2 after structural relaxation, as listed in Alexandria via LeMat-Bulk.

Properties
Formation energy from raw total energies in eV per atom: -0.4642

a = 5.985 Å, b = 5.985 Å, c = 10.251 Å
α = 113.50°, β = 113.50°, γ = 44.98°
Fractional positions:
1 Ca 0.102 0.102 0.409
2 Ca 0.287 0.287 0.847
3 Ca 0.713 0.713 0.153
4 Ca 0.898 0.898 0.591
5 Si 0.453 0.453 0.189
6 Si 0.547 0.547 0.811
7 Ge 0.054 0.054 0.917
8 Ge 0.382 0.382 0.384
9 Ge 0.618 0.618 0.616
10 Ge 0.946 0.946 0.083

***

Raw total energy
In order: -2.09, -4.36, -3.95, -5.99, -5.26, -6.52, -6.62, -4.32, -8.33, -4.62, -3.86, -5.51, -5.53, -4.32, -5.63, -8.37, -8.26, -5.12, -6.85, -4.79, -6.44, -4.14, -2.00, -4.20
Unit: eV/atom
Total magnetization
In order: 0.00, 0.00, 0.10, 0.00, 0.00, 0.05, 0.00, 0.00, 0.00, 0.00, 0.00, 0.00, 0.00, 0.08, 0.00, 0.00, 0.00, 0.26, 1.56, 0.00, 0.00, 0.07, 0.00, 0.00
Unit: μB per atom